# 1
Here is a geometry-optimized Ca2VPt2 structure from the Alexandria database. Energies are from PBE-GGA. Values from VASP.

Cell and atoms, written as Quantum ESPRESSO input:
```
&SYSTEM
  ibrav = 0, nat = 10, ntyp = 3
/
ATOMIC_SPECIES
Ca 40.08 Ca.upf
Pt 195.08 Pt.upf
V 50.94 V.upf
ATOMIC_POSITIONS crystal
Ca 0.172 0.672 0.500
Ca 0.672 0.828 0.500
Ca 0.828 0.328 0.500
Ca 0.328 0.172 0.500
Pt 0.360 0.860 0.000
Pt 0.860 0.640 0.000
Pt 0.640 0.140 0.000
Pt 0.140 0.360 0.000
V 0.000 0.000 0.000
V 0.500 0.500 0.000
CELL_PARAMETERS angstrom
6.845 0.000 0.000
0.000 6.845 0.000
0.000 0.000 4.579
```

Computed properties:
Raw total energy   -0.40847 Ry per atom
Volume   21.45 A^3/atom

---

# 2
Here is a geometry-optimized Ce2YSi2Ni2 structure from the Alexandria database. Energies are from PBE-GGA. Values from VASP.

Cell and atoms, written as Quantum ESPRESSO input:
```
&SYSTEM
  ibrav = 0, nat = 7, ntyp = 4
/
ATOMIC_SPECIES
Ce 140.12 Ce.upf
Y 88.91 Y.upf
Si 28.09 Si.upf
Ni 58.69 Ni.upf
ATOMIC_POSITIONS crystal
Ce 0.137 0.137 0.590
Ce 0.863 0.863 0.410
Y 0.000 0.000 0.000
Si 0.737 0.737 0.788
Si 0.263 0.263 0.212
Ni 0.595 0.595 0.214
Ni 0.405 0.405 0.786
CELL_PARAMETERS angstrom
4.111 0.000 0.000
2.055 3.560 0.000
2.055 1.187 8.978
```

Computed properties:
Raw total energy   -0.47739 Ry per atom
ΔE_f (raw)   -4.73 eV per formula unit
Volume   18.77 A^3/atom

---

# 3
Here is a geometry-optimized CdHg2Sb2 structure from the Alexandria database. Energies are from PBE-GGA. Values from VASP.

Cell and atoms, written as Quantum ESPRESSO input:
```
&SYSTEM
  ibrav = 0, nat = 10, ntyp = 3
/
ATOMIC_SPECIES
Sb 121.76 Sb.upf
Hg 200.59 Hg.upf
Cd 112.41 Cd.upf
ATOMIC_POSITIONS crystal
Sb 0.139 0.639 0.500
Sb 0.639 0.861 0.500
Sb 0.861 0.361 0.500
Sb 0.361 0.139 0.500
Hg 0.341 0.841 0.000
Hg 0.841 0.659 0.000
Hg 0.659 0.159 0.000
Hg 0.159 0.341 0.000
Cd 0.000 0.000 0.000
Cd 0.500 0.500 0.000
CELL_PARAMETERS angstrom
8.604 0.000 0.000
0.000 8.604 0.000
0.000 0.000 3.639
```

Computed properties:
Energy above the most stable polymorph in this dataset   81 meV/atom
Raw total energy   -0.12589 Ry per atom
ΔE_f (raw)   1.20 eV per formula unit
Volume   26.94 A^3/atom

---

# 4
Here is a geometry-optimized LaCrRe2 structure from the Alexandria database. Energies are from PBE-GGA. Values from VASP.

Cell and atoms, written as Quantum ESPRESSO input:
```
&SYSTEM
  ibrav = 0, nat = 4, ntyp = 3
/
ATOMIC_SPECIES
Cr 52.00 Cr.upf
La 138.91 La.upf
Re 186.21 Re.upf
ATOMIC_POSITIONS crystal
Cr 0.250 0.250 0.250
La 0.750 0.750 0.750
Re 0.985 0.985 0.985
Re 0.515 0.515 0.515
CELL_PARAMETERS angstrom
9.827 -0.008 -0.005
9.414 2.819 -0.005
9.414 1.376 2.461
```

Computed properties:
Energy above the most stable polymorph in this dataset   289 meV/atom
Raw total energy   -0.67834 Ry per atom
Volume   17.12 A^3/atom

---

# 5
Here is a geometry-optimized Na2NdInBi2 structure from the Alexandria database. Energies are from PBE-GGA. Values from VASP.

Cell and atoms, written as Quantum ESPRESSO input:
```
&SYSTEM
  ibrav = 0, nat = 12, ntyp = 4
/
ATOMIC_SPECIES
Na 22.99 Na.upf
Nd 144.24 Nd.upf
In 114.82 In.upf
Bi 208.98 Bi.upf
ATOMIC_POSITIONS crystal
Na 0.500 0.014 0.009
Na 0.000 0.273 0.151
Na 0.500 0.514 0.991
Na 0.000 0.773 0.849
Nd 0.000 0.003 0.495
Nd 0.000 0.503 0.505
In 0.500 0.234 0.658
In 0.500 0.734 0.342
Bi 0.000 0.264 0.819
Bi 0.500 0.257 0.335
Bi 0.000 0.764 0.181
Bi 0.500 0.757 0.665
CELL_PARAMETERS angstrom
-4.331 0.469 -2.836
-3.458 -4.066 4.607
-2.503 7.949 5.137
```

Computed properties:
Raw total energy   -0.24850 Ry per atom
Volume   29.90 A^3/atom

---

# 6
Here is a geometry-optimized BaBr2 structure from the Alexandria database. Energies are from PBE-GGA. Values from VASP.

Cell and atoms, written as Quantum ESPRESSO input:
```
&SYSTEM
  ibrav = 0, nat = 6, ntyp = 2
/
ATOMIC_SPECIES
Ba 137.33 Ba.upf
Br 79.90 Br.upf
ATOMIC_POSITIONS crystal
Ba 0.000 0.000 0.250
Ba 0.000 0.000 0.750
Br 0.667 0.333 0.378
Br 0.333 0.667 0.878
Br 0.333 0.667 0.622
Br 0.667 0.333 0.122
CELL_PARAMETERS angstrom
-4.603 0.245 -0.912
1.492 -1.695 4.121
-0.403 13.275 5.606
```

Computed properties:
Raw total energy   -0.27834 Ry per atom
ΔE_f (raw)   -6.09 eV per formula unit
Volume   45.95 A^3/atom

---

# 7
Here is a geometry-optimized NpSiRuC structure from the Alexandria database. Energies are from PBE-GGA. Values from VASP.

Cell and atoms, written as Quantum ESPRESSO input:
```
&SYSTEM
  ibrav = 0, nat = 8, ntyp = 4
/
ATOMIC_SPECIES
Np 237.00 Np.upf
Si 28.09 Si.upf
Ru 101.07 Ru.upf
C 12.01 C.upf
ATOMIC_POSITIONS crystal
Np 0.000 0.500 0.845
Np 0.500 0.000 0.155
Si 0.000 0.500 0.334
Si 0.500 0.000 0.666
Ru 0.000 0.000 0.500
Ru 0.500 0.500 0.500
C 0.500 0.000 0.886
C 0.000 0.500 0.114
CELL_PARAMETERS angstrom
-0.021 -2.823 2.606
-1.151 -2.482 -2.697
7.986 -1.733 -1.814
```

Computed properties:
Raw total energy   -0.69243 Ry per atom
ΔE_f (raw)   -0.82 eV per formula unit
Volume   15.44 A^3/atom

---

# 8
Here is a geometry-optimized MgP2Ru structure from the Alexandria database. Energies are from PBE-GGA. Values from VASP.

Cell and atoms, written as Quantum ESPRESSO input:
```
&SYSTEM
  ibrav = 0, nat = 4, ntyp = 3
/
ATOMIC_SPECIES
Mg 24.30 Mg.upf
P 30.97 P.upf
Ru 101.07 Ru.upf
ATOMIC_POSITIONS crystal
Mg 0.500 0.500 0.500
P 0.000 0.000 0.000
P 0.750 0.750 0.750
Ru 0.250 0.250 0.250
CELL_PARAMETERS angstrom
4.314 0.000 0.000
2.157 3.736 0.000
2.157 1.245 3.522
```

Computed properties:
Raw total energy   -0.37898 Ry per atom
Volume   14.19 A^3/atom

---

# 9
Here is a geometry-optimized SmErAl4 structure from the Alexandria database. Energies are from PBE-GGA. Values from VASP.

Cell and atoms, written as Quantum ESPRESSO input:
```
&SYSTEM
  ibrav = 0, nat = 6, ntyp = 3
/
ATOMIC_SPECIES
Al 26.98 Al.upf
Sm 150.36 Sm.upf
Er 167.26 Er.upf
ATOMIC_POSITIONS crystal
Al 0.625 0.625 0.125
Al 0.625 0.125 0.625
Al 0.625 0.625 0.625
Al 0.125 0.625 0.625
Sm 0.000 0.000 0.000
Er 0.250 0.250 0.250
CELL_PARAMETERS angstrom
-3.651 -2.493 -3.414
1.707 -4.072 -3.422
-1.554 -5.281 0.949
```

Computed properties:
Raw total energy   -0.33415 Ry per atom
Volume   20.54 A^3/atom

---

# 10
Here is a geometry-optimized Cu2Te structure from the Alexandria database. Energies are from PBE-GGA. Values from VASP.

Cell and atoms, written as Quantum ESPRESSO input:
```
&SYSTEM
  ibrav = 0, nat = 6, ntyp = 2
/
ATOMIC_SPECIES
Cu 63.55 Cu.upf
Te 127.60 Te.upf
ATOMIC_POSITIONS crystal
Cu 0.362 0.638 0.250
Cu 0.638 0.362 0.750
Cu 0.750 0.250 0.250
Cu 0.250 0.750 0.750
Te 0.116 0.884 0.250
Te 0.884 0.116 0.750
CELL_PARAMETERS angstrom
1.974 -7.441 0.000
1.974 7.441 0.000
0.000 0.000 3.929
```

Computed properties:
Raw total energy   -0.27060 Ry per atom
ΔE_f (raw)   0.29 eV per formula unit
Volume   19.24 A^3/atom

---

# 11
Here is a geometry-optimized Zn2TePt2 structure from the Alexandria database. Energies are from PBE-GGA. Values from VASP.

Cell and atoms, written as Quantum ESPRESSO input:
```
&SYSTEM
  ibrav = 0, nat = 10, ntyp = 3
/
ATOMIC_SPECIES
Zn 65.41 Zn.upf
Te 127.60 Te.upf
Pt 195.08 Pt.upf
ATOMIC_POSITIONS crystal
Zn 0.128 0.628 0.500
Zn 0.628 0.872 0.500
Zn 0.872 0.372 0.500
Zn 0.372 0.128 0.500
Te 0.000 0.000 0.000
Te 0.500 0.500 0.000
Pt 0.334 0.834 0.000
Pt 0.834 0.666 0.000
Pt 0.666 0.166 0.000
Pt 0.166 0.334 0.000
CELL_PARAMETERS angstrom
7.648 0.000 0.000
0.000 7.648 0.000
0.000 0.000 2.943
```

Computed properties:
Energy above the most stable polymorph in this dataset   0 meV/atom
Raw total energy   -0.28579 Ry per atom
ΔE_f (raw)   -1.67 eV per formula unit
Volume   17.21 A^3/atom